Record 1
## Ni2Os4Cl (PBE)

Data for an optimized crystal structure of Ni2Os4Cl.

Results
Formation energy without anion corrections, eV/atom: 1.863
SG: I4/mmm (139)

The structure in CIF format:
```
data_Ni2Os4Cl
_cell_length_a 4.316
_cell_length_b 4.316
_cell_length_c 6.677
_cell_angle_alpha 71.14
_cell_angle_beta 71.14
_cell_angle_gamma 90.00
_space_group_name_H-M_alt 'P 1'
_space_group_IT_number 1
loop_
_space_group_symop_operation_xyz
'x,y,z'
loop_
_atom_site_label
_atom_site_type_symbol
_atom_site_fract_x
_atom_site_fract_y
_atom_site_fract_z
Ni1 Ni 0.618 0.618 0.764
Ni2 Ni 0.382 0.382 0.236
Os1 Os 0.815 0.815 0.370
Os2 Os 0.185 0.185 0.630
Os3 Os 0.000 0.500 0.000
Os4 Os 0.500 0.000 0.000
Cl1 Cl 0.000 0.000 0.000
```

***

Record 2
## NiP2OsCl (PBE)

Data for an optimized crystal structure of NiP2OsCl.

Results
Energy above the most stable polymorph in this dataset, eV/atom: 0.290
Formation energy without anion corrections, eV/atom: 1.193
SG: P4/mmm (123)

The structure in CIF format:
```
data_NiP2OsCl
_cell_length_a 4.295
_cell_length_b 4.295
_cell_length_c 4.391
_cell_angle_alpha 90.00
_cell_angle_beta 90.00
_cell_angle_gamma 90.00
_space_group_name_H-M_alt 'P 1'
_space_group_IT_number 1
loop_
_space_group_symop_operation_xyz
'x,y,z'
loop_
_atom_site_label
_atom_site_type_symbol
_atom_site_fract_x
_atom_site_fract_y
_atom_site_fract_z
Ni1 Ni 0.000 0.000 0.000
Os1 Os 0.500 0.500 0.500
P1 P 0.000 0.500 0.000
P2 P 0.500 0.000 0.000
Cl1 Cl 0.000 0.000 0.500
```

***

Record 3
## NiP2OsCl (PBE)

Data for an optimized crystal structure of NiP2OsCl.

Results
Energy above the most stable polymorph in this dataset, eV/atom: 0.000
Formation energy without anion corrections, eV/atom: 0.903
SG: P4/mmm (123)

The structure in CIF format:
```
data_NiP2OsCl
_cell_length_a 4.497
_cell_length_b 4.497
_cell_length_c 5.075
_cell_angle_alpha 90.00
_cell_angle_beta 90.00
_cell_angle_gamma 90.00
_space_group_name_H-M_alt 'P 1'
_space_group_IT_number 1
loop_
_space_group_symop_operation_xyz
'x,y,z'
loop_
_atom_site_label
_atom_site_type_symbol
_atom_site_fract_x
_atom_site_fract_y
_atom_site_fract_z
Ni1 Ni 0.500 0.500 0.500
Os1 Os 0.000 0.000 0.000
P1 P 0.000 0.500 0.000
P2 P 0.500 0.000 0.000
Cl1 Cl 0.000 0.000 0.500
```

***

Record 4
## Ni2POsCl (PBE)

Data for an optimized crystal structure of Ni2POsCl.

Results
Formation energy without anion corrections, eV/atom: 1.350
SG: P4/mmm (123)

The structure in CIF format:
```
data_Ni2POsCl
_cell_length_a 3.970
_cell_length_b 4.792
_cell_length_c 3.970
_cell_angle_alpha 90.00
_cell_angle_beta 90.00
_cell_angle_gamma 90.00
_space_group_name_H-M_alt 'P 1'
_space_group_IT_number 1
loop_
_space_group_symop_operation_xyz
'x,y,z'
loop_
_atom_site_label
_atom_site_type_symbol
_atom_site_fract_x
_atom_site_fract_y
_atom_site_fract_z
Ni1 Ni 0.000 0.000 0.500
Ni2 Ni 0.500 0.000 0.000
Os1 Os 0.500 0.500 0.500
P1 P 0.000 0.500 0.000
Cl1 Cl 0.000 0.000 0.000
```

***

Record 5
## Pm8NiOs3Cl4 (PBE)

Data for an optimized crystal structure of Pm8NiOs3Cl4.

Results
Formation energy without anion corrections, eV/atom: -0.815
SG: C2/m (12)

The structure in CIF format:
```
data_Pm8NiOs3Cl4
_cell_length_a 8.066
_cell_length_b 8.899
_cell_length_c 8.064
_cell_angle_alpha 116.97
_cell_angle_beta 120.01
_cell_angle_gamma 90.00
_space_group_name_H-M_alt 'P 1'
_space_group_IT_number 1
loop_
_space_group_symop_operation_xyz
'x,y,z'
loop_
_atom_site_label
_atom_site_type_symbol
_atom_site_fract_x
_atom_site_fract_y
_atom_site_fract_z
Pm1 Pm 0.237 0.705 0.968
Pm2 Pm 0.237 0.705 0.474
Pm3 Pm 0.263 0.290 0.526
Pm4 Pm 0.731 0.705 0.968
Pm5 Pm 0.269 0.295 0.032
Pm6 Pm 0.737 0.710 0.474
Pm7 Pm 0.763 0.295 0.526
Pm8 Pm 0.763 0.295 0.032
Ni1 Ni 0.000 0.500 0.000
Os1 Os 0.500 0.500 0.000
Os2 Os 0.500 0.500 0.500
Os3 Os 0.000 0.500 0.500
Cl1 Cl 0.500 0.000 0.000
Cl2 Cl 0.500 0.000 0.500
Cl3 Cl 0.000 0.000 0.000
Cl4 Cl 0.000 0.000 0.500
```

***

Record 6
## Pm4NiOsCl2 (PBE)

Data for an optimized crystal structure of Pm4NiOsCl2.

Results
Formation energy without anion corrections, eV/atom: -0.881
SG: P2/m (10)

The structure in CIF format:
```
data_Pm4NiOsCl2
_cell_length_a 4.044
_cell_length_b 6.907
_cell_length_c 7.896
_cell_angle_alpha 106.87
_cell_angle_beta 90.00
_cell_angle_gamma 90.00
_space_group_name_H-M_alt 'P 1'
_space_group_IT_number 1
loop_
_space_group_symop_operation_xyz
'x,y,z'
loop_
_atom_site_label
_atom_site_type_symbol
_atom_site_fract_x
_atom_site_fract_y
_atom_site_fract_z
Pm1 Pm 0.500 0.232 0.201
Pm2 Pm 0.500 0.768 0.799
Pm3 Pm 0.000 0.268 0.791
Pm4 Pm 0.000 0.732 0.209
Ni1 Ni 0.000 0.000 0.000
Os1 Os 0.500 0.500 0.000
Cl1 Cl 0.500 0.000 0.500
Cl2 Cl 0.000 0.500 0.500
```